Record 1
This record from Alexandria via LeMat-Bulk describes AsOsSe2Cl after structural relaxation. The functional is PBE.

The space group is P4/mmm (No. 123) and the conventional cell measures 4.904, 4.904 and 4.853 Å, with angles of 90.00, 90.00 and 90.00 degrees. The inequivalent atoms are As at (0.000, 0.000, 0.000), Os at (0.000, 0.000, 0.500), Se at (0.000, 0.500, 0.500) and Cl at (0.500, 0.500, 0.000).

---

Record 2
This record from Alexandria via LeMat-Bulk describes AsOsSe2Cl after structural relaxation. The functional is PBE.

The space group is P4/mmm (No. 123) and the conventional cell measures 4.776, 4.776 and 4.639 Å, with angles of 90.00, 90.00 and 90.00 degrees. The inequivalent atoms are As at (0.000, 0.000, 0.000), Os at (0.500, 0.500, 0.000), Se at (0.000, 0.500, 0.500) and Cl at (0.000, 0.000, 0.500).

---

Record 3
This record from Alexandria via LeMat-Bulk describes TiAs2OsCl after structural relaxation. The functional is PBE.

The space group is P4/mmm (No. 123) and the conventional cell measures 4.972, 4.972 and 4.450 Å, with angles of 90.00, 90.00 and 90.00 degrees. The inequivalent atoms are Ti at (0.000, 0.000, 0.000), As at (0.000, 0.500, 0.000), Os at (0.500, 0.500, 0.500) and Cl at (0.000, 0.000, 0.500).

---

Record 4
This record from Alexandria via LeMat-Bulk describes AsPCl after structural relaxation. The functional is PBE.

The space group is P1 (No. 1) and the conventional cell measures 6.463, 6.494 and 6.522 Å, with angles of 116.48, 99.14 and 109.13 degrees. The inequivalent atoms are As at (0.000, 0.000, 0.000), As at (0.292, 0.962, 0.264), P at (0.061, 0.164, 0.419), P at (0.924, 0.614, 0.986), Cl at (0.293, 0.558, 0.585) and Cl at (0.699, 0.562, 0.181).

---

Record 5
This record from Alexandria via LeMat-Bulk describes As2PCl after structural relaxation. The functional is PBE.

The space group is Immm (No. 71) and the conventional cell measures 3.287, 4.928 and 9.641 Å, with angles of 90.00, 90.00 and 90.00 degrees. The inequivalent atoms are As at (0.000, 0.000, 0.195), P at (0.000, 0.500, 0.500) and Cl at (0.000, 0.500, 0.000).

---

Record 6
This record from Alexandria via LeMat-Bulk describes AsPCl2 after structural relaxation. The functional is PBE.

The space group is Cmmm (No. 65) and the conventional cell measures 3.091, 5.684 and 11.712 Å, with angles of 90.00, 90.00 and 90.00 degrees. The inequivalent atoms are As at (0.000, 0.000, 0.000), P at (0.000, 0.000, 0.500) and Cl at (0.000, 0.500, 0.345).

---

| no. | uncorrected energy (eV/atom) |
| --- | --- |
| 1 | -4.392 |
| 2 | -3.075 |
| 3 | -5.187 |
| 4 | -4.149 |
| 5 | -3.732 |
| 6 | -3.020 |